The following is a DFT calculation (PBE) of YZrS2Cl after structural relaxation.

Results
DOS(E_F): 3.43 states/eV/f.u.
Distance to the lowest polymorph of the same formula: 0 meV per atom
Symmetry: P4/mmm

a = 4.9891 Å, b = 4.9891 Å, c = 4.8395 Å
α = 90.00°, β = 90.00°, γ = 90.00°
Atoms (fractional coordinates):
S: 0.5000 0.0000 0.0000
Y: 0.5000 0.5000 0.5000
Zr: 0.0000 0.0000 0.0000
Cl: 0.0000 0.0000 0.5000
S: 0.0000 0.5000 0.0000

***

The following is a DFT calculation (PBE) of Al2GaNi after structural relaxation.

Results
DOS(E_F): 1.60 states/eV/f.u.
Energy of formation from the pure elements: -0.14 eV per atom
Symmetry: R-3m

a = 2.8735 Å, b = 2.8735 Å, c = 8.9816 Å
α = 80.80°, β = 80.80°, γ = 60.00°
Atoms (fractional coordinates):
Al: 0.0981 0.0981 0.7058
Ni: 0.5000 0.5000 0.5000
Ga: 0.0000 0.0000 0.0000
Al: 0.9019 0.9019 0.2942

***

The following is a DFT calculation (PBE) of SeSI3 after structural relaxation.

Results
DOS(E_F): 2.95 states/eV/f.u.
Distance to the lowest polymorph of the same formula: 0 meV per atom
Symmetry: Pm-3m

a = 5.5854 Å, b = 5.5854 Å, c = 5.5854 Å
α = 90.00°, β = 90.00°, γ = 90.00°
Atoms (fractional coordinates):
I: 0.5000 0.0000 0.0000
S: 0.0000 0.0000 0.0000
I: 0.0000 0.5000 0.0000
I: 0.0000 0.0000 0.5000
Se: 0.5000 0.5000 0.5000

***

The following is a DFT calculation (PBE) of SrTeSe2 after structural relaxation.

Results
DOS(E_F): 0.01 states/eV/f.u.
Calculated total energy: -0.29014 Ry per atom
Symmetry: Cmc2_1

a = 7.9044 Å, b = 9.1842 Å, c = 7.2043 Å
α = 90.00°, β = 90.00°, γ = 90.00°
Atoms (fractional coordinates):
Se: 0.2545 0.8841 0.2811
Se: 0.7545 0.3841 0.2811
Se: 0.2455 0.6159 0.7811
Sr: 0.0000 0.3607 0.6279
Se: 0.2455 0.3841 0.2811
Sr: 0.0000 0.6393 0.1279
Te: 0.0000 0.7433 0.5951
Te: 0.5000 0.2433 0.5951
Sr: 0.5000 0.8607 0.6279
Se: 0.7455 0.8841 0.2811
Se: 0.7545 0.6159 0.7811
Sr: 0.5000 0.1393 0.1279
Te: 0.5000 0.7567 0.0951
Te: 0.0000 0.2567 0.0951
Se: 0.2545 0.1159 0.7811
Se: 0.7455 0.1159 0.7811